Below is Sc2OsWC6 after structural relaxation, with properties calculated at the PBE level.

Computed properties:
* electronic total energy: -179.715 eV per cell

```
data_Sc2OsWC6
_cell_length_a 4.808
_cell_length_b 5.251
_cell_length_c 8.640
_cell_angle_alpha 90.29
_cell_angle_beta 90.16
_cell_angle_gamma 92.11
_space_group_name_H-M_alt 'P 1'
_space_group_IT_number 1
loop_
_space_group_symop_operation_xyz
'x,y,z'
loop_
_atom_site_label
_atom_site_type_symbol
_atom_site_fract_x
_atom_site_fract_y
_atom_site_fract_z
_atom_site_occupancy
Sc1 Sc 0.000 0.000 0.000 1
Sc2 Sc 0.000 0.002 0.493 1
Sc3 Sc 0.499 0.499 0.994 1
Sc4 Sc 0.502 0.502 0.501 1
Os1 Os 0.439 0.882 0.247 1
Os2 Os 0.939 0.383 0.747 1
W1 W 0.489 0.965 0.747 1
W2 W 0.989 0.464 0.246 1
C1 C 0.015 0.871 0.247 1
C2 C 0.025 0.979 0.747 1
C3 C 0.337 0.568 0.746 1
C4 C 0.359 0.263 0.247 1
C5 C 0.481 0.944 0.995 1
C6 C 0.481 0.945 0.498 1
C7 C 0.514 0.372 0.747 1
C8 C 0.525 0.477 0.247 1
C9 C 0.837 0.067 0.247 1
C10 C 0.859 0.765 0.746 1
C11 C 0.980 0.445 0.999 1
C12 C 0.982 0.445 0.495 1
```

Below is TaZnCuB after structural relaxation, with properties calculated at the PBE level.

Computed properties:
* electronic total energy: -85.522 eV per cell

```
data_TaZnCuB
_cell_length_a 5.866
_cell_length_b 5.866
_cell_length_c 5.866
_cell_angle_alpha 90.00
_cell_angle_beta 90.00
_cell_angle_gamma 90.00
_space_group_name_H-M_alt 'F -4 3 m'
_space_group_IT_number 216
_space_group_name_Hall 'F -4 2 3'
loop_
_atom_site_label
_atom_site_type_symbol
_atom_site_fract_x
_atom_site_fract_y
_atom_site_fract_z
_atom_site_occupancy
Ta1 Ta 0.000 0.000 0.000 1
Zn1 Zn 0.250 0.250 0.750 1
Cu1 Cu 0.000 0.000 0.500 1
B1 B 0.250 0.250 0.250 1
```

no.,polymorph energy (0 for the lowest one) (meV per atom)
1,0
2,0